Below is Ca3Sm2PaAs6 after structural relaxation, with properties calculated at the PBE-GGA level.

```
data_Ca3Sm2PaAs6
_space_group_name_H-M_alt 'P 1'
_space_group_IT_number 1
_space_group_name_Hall 'P 1'
_cell_length_a 7.343
_cell_length_b 7.343
_cell_length_c 7.267
_cell_angle_alpha 99.72
_cell_angle_beta 99.72
_cell_angle_gamma 120.07
loop_
_atom_site_label
_atom_site_type_symbol
_atom_site_fract_x
_atom_site_fract_y
_atom_site_fract_z
Ca1 Ca 0.000 0.000 0.000
Ca2 Ca 0.329 0.671 0.000
Ca3 Ca 0.671 0.329 0.000
Sm1 Sm 0.166 0.834 0.500
Sm2 Sm 0.834 0.166 0.500
Pa1 Pa 0.500 0.500 0.500
As1 As 0.099 0.421 0.263
As2 As 0.258 0.258 0.738
As3 As 0.421 0.099 0.263
As4 As 0.579 0.901 0.737
As5 As 0.742 0.742 0.262
As6 As 0.901 0.579 0.737
```

Summary:
ΔH_f (0 K) in eV/atom: -1.255
Space group: C2/m (12)

Below is Na2PuBeP2 after structural relaxation, with properties calculated at the PBE-GGA level.

```
data_Na2PuBeP2
_space_group_name_H-M_alt 'P 1'
_space_group_IT_number 1
_space_group_name_Hall 'P 1'
_cell_length_a 3.906
_cell_length_b 7.846
_cell_length_c 7.697
_cell_angle_alpha 90.00
_cell_angle_beta 90.00
_cell_angle_gamma 90.00
loop_
_atom_site_label
_atom_site_type_symbol
_atom_site_fract_x
_atom_site_fract_y
_atom_site_fract_z
Na1 Na 0.000 0.087 0.000
Na2 Na 0.000 0.913 0.500
Na3 Na 0.500 0.153 0.320
Na4 Na 0.500 0.847 0.820
Pu1 Pu 0.500 0.472 0.963
Pu2 Pu 0.500 0.528 0.463
Be1 Be 0.000 0.320 0.688
Be2 Be 0.000 0.680 0.188
P1 P 0.000 0.406 0.220
P2 P 0.000 0.594 0.720
P3 P 0.500 0.192 0.696
P4 P 0.500 0.808 0.196
```

Summary:
ΔH_f (0 K) in eV/atom: -0.529
Space group: Pmc2_1 (26)